A plane-wave DFT calculation with PBE was carried out for a relaxed structure of Hf6Ir2Pt.

Cell: 5.7095 7.1669 10.5278 Å, 90.00 121.73 90.00°
With the nearest neighbours (Å) after each atom.
Space group P2_1/c (No. 14)
Asymmetric unit:
Hf (0.0577, 0.0701, 0.2393) [4 per cell]  1 Pt 2.62, 2 Ir 2.68-2.85
Hf (0.2182, 0.7311, 0.0731) [4 per cell]  1 Pt 2.69, 2 Ir 2.69-2.73
Hf (0.3804, 0.1425, 0.0475) [4 per cell]  2 Ir 2.72-2.80, 1 Pt 2.76, 1 Hf 2.91
Ir (0.3067, 0.0995, 0.7131) [4 per cell]  6 Hf 2.68-2.85
Pt (0.5000, 0.0000, 0.5000) [2 per cell]  6 Hf 2.62-2.76

Summary:
Final energy (eV per atom): -9.839
Calculated formation energy (meV/atom): -563



A plane-wave DFT calculation with PBE was carried out for a relaxed structure of PmEr2Ag4.

Cell: 7.2891 7.2891 6.9266 Å, 90.00 90.00 90.00°
With the nearest neighbours (Å) after each atom.
Space group I4/mmm (No. 139)
Asymmetric unit:
Pm (0.0000, 0.0000, 0.0000) [2 per cell]  8 Ag 3.10
Er (0.0000, 0.5000, 0.0000) [4 per cell]  8 Ag 3.10, 2 Er 3.46
Ag (0.2500, 0.2500, 0.2500) [8 per cell]  2 Pm 3.10, 4 Er 3.10, 2 Ag 3.46

Summary:
Final energy (eV per atom): -3.695
Calculated formation energy (meV/atom): -84



A plane-wave DFT calculation with PBE was carried out for a relaxed structure of Cs2KPb2Cl7.

Cell: 8.0652 8.0613 14.8782 Å, 90.00 105.65 90.00°
With the nearest neighbours (Å) after each atom.
Space group C2/m (No. 12)
Asymmetric unit:
Cs (0.1769, 0.0000, 0.3621) [4 per cell]  5 Cl 3.42-3.81
K (0.0000, 0.0000, 0.0000) [2 per cell]  12 Cl 3.92-4.03
Pb (0.1005, 0.5000, 0.2001) [4 per cell]  6 Cl 2.85-2.87
Cl (0.0000, 0.5000, 0.0000) [2 per cell]  2 Pb 2.87
Cl (0.1556, 0.2499, 0.8119) [8 per cell]  2 Pb 2.85-2.86
Cl (0.2057, 0.5000, 0.3994) [4 per cell]  1 Pb 2.86

Summary:
Formation energy (no corrections) (eV/atom): -1.558
Final energy (eV per atom): -3.487



Among the records above, which one has the highest final energy? Cs2KPb2Cl7